No. 1
Computed, not measured: Tb3Pm2Pr after structural relaxation at the PBE level of DFT.

Properties
energy above the lowest structure with this stoichiometry	0	meV per atom
DOS(E_F)	18.40	states/eV per cell
ΔH_f (0 K)	0.12	eV per atom
symmetry	C2/m
uncorrected energy	-54.92	eV for the cell shown
calculated density	7.37	g cm⁻³

abc: 3.5324 10.4170 11.8566
angles: 108.31 98.57 90.00
Closest atoms and distances in Å follow each position.
Atoms (fractional coordinates):
Tb1 0.3049 0.2849 0.6099  3 Pr 3.43-3.61, 5 Tb 3.51-3.63, 3 Pm 3.54-3.55
Tb2 0.9322 0.2386 0.8643  8 Tb 3.53-3.68, 1 Pm 3.62, 2 Pr 3.73
Tb3 0.5594 0.4463 0.1189  8 Tb 3.32-3.68, 3 Pm 3.42-3.69
Tb4 0.6951 0.7151 0.3901  3 Pr 3.43-3.61, 5 Tb 3.51-3.63, 3 Pm 3.54-3.55
Tb5 0.4406 0.5537 0.8811  8 Tb 3.32-3.68, 3 Pm 3.42-3.69
Tb6 0.0678 0.7614 0.1357  8 Tb 3.53-3.68, 1 Pm 3.62, 2 Pr 3.73
Pm1 0.0671 0.1408 0.1342  5 Pm 3.53-3.60, 3 Tb 3.62-3.69, 2 Pr 3.73
Pm2 0.6915 0.3723 0.3829  4 Tb 3.42-3.55, 1 Pr 3.45, 6 Pm 3.53-3.62
Pm3 0.3085 0.6277 0.6171  4 Tb 3.42-3.55, 1 Pr 3.45, 6 Pm 3.53-3.62
Pm4 0.9329 0.8592 0.8658  5 Pm 3.53-3.60, 3 Tb 3.62-3.69, 2 Pr 3.73
Pr1 0.6856 0.0368 0.3712  5 Tb 3.43-3.73, 3 Pm 3.45-3.73, 4 Pr 3.53-3.78
Pr2 0.3144 0.9632 0.6288  5 Tb 3.43-3.73, 3 Pm 3.45-3.73, 4 Pr 3.53-3.78

No. 2
Computed, not measured: MnCd after structural relaxation at the PBE level of DFT.

Properties
DOS(E_F)	15.98	states/eV per cell
ΔH_f (0 K)	1.28	eV per atom
symmetry	Pm-3n
uncorrected energy	-45.10	eV for the cell shown
calculated density	3.68	g cm⁻³

abc: 7.6779 7.6779 7.6779
angles: 90.00 90.00 90.00
Closest atoms and distances in Å follow each position.
Atoms (fractional coordinates):
Cd1 0.5000 0.0000 0.2500  4 Mn 2.71
Cd2 0.7500 0.5000 0.0000  4 Mn 2.71
Cd3 0.2500 0.5000 0.0000  4 Mn 2.71
Cd4 0.0000 0.2500 0.5000  4 Mn 2.71
Cd5 0.0000 0.7500 0.5000  4 Mn 2.71
Cd6 0.5000 0.0000 0.7500  4 Mn 2.71
Mn1 0.7500 0.0000 0.5000  4 Cd 2.71
Mn2 0.5000 0.7500 0.0000  4 Cd 2.71
Mn3 0.2500 0.0000 0.5000  4 Cd 2.71
Mn4 0.5000 0.2500 0.0000  4 Cd 2.71
Mn5 0.0000 0.5000 0.2500  4 Cd 2.71
Mn6 0.0000 0.5000 0.7500  4 Cd 2.71

> The lowest uncorrected energy belongs to which entry?

Tb3Pm2Pr